Record 1
The following is a DFT calculation (PBE) of an optimized crystal structure of Er3Ga2Ru2.

Lattice parameters (Å, degrees): 5.525 7.513 13.953 90.00 90.00 90.00
Element x y z (fractional)
Er (0.152, 0.600, 0.095)
Er (0.848, 0.400, 0.595)
Er (0.848, 0.100, 0.405)
Er (0.152, 0.900, 0.905)
Er (0.848, 0.400, 0.905)
Er (0.152, 0.600, 0.405)
Er (0.152, 0.900, 0.595)
Er (0.848, 0.100, 0.095)
Er (0.385, 0.236, 0.250)
Er (0.615, 0.764, 0.750)
Er (0.615, 0.736, 0.250)
Er (0.385, 0.264, 0.750)
Ga (0.361, 0.250, 0.000)
Ga (0.639, 0.750, 0.500)
Ga (0.639, 0.750, 0.000)
Ga (0.361, 0.250, 0.500)
Ga (0.881, 0.394, 0.250)
Ga (0.119, 0.606, 0.750)
Ga (0.119, 0.894, 0.250)
Ga (0.881, 0.106, 0.750)
Ru (0.647, 0.461, 0.095)
Ru (0.353, 0.539, 0.595)
Ru (0.353, 0.961, 0.405)
Ru (0.647, 0.039, 0.905)
Ru (0.353, 0.539, 0.905)
Ru (0.647, 0.461, 0.405)
Ru (0.647, 0.039, 0.595)
Ru (0.353, 0.961, 0.095)

Calculated values
ΔH_f (0 K) (eV/atom): -0.58

Record 2
The following is a DFT calculation (PBE) of an optimized crystal structure of NbAg7S6.

Lattice parameters (Å, degrees): 7.400 7.677 13.345 55.10 90.00 90.00
Element x y z (fractional)
Nb (0.243, 0.995, 0.503)
Nb (0.757, 0.995, 0.003)
Ag (0.878, 0.897, 0.409)
Ag (0.122, 0.897, 0.909)
Ag (0.958, 0.520, 0.149)
Ag (0.042, 0.520, 0.649)
Ag (0.601, 0.079, 0.198)
Ag (0.399, 0.079, 0.698)
Ag (0.790, 0.686, 0.282)
Ag (0.210, 0.686, 0.782)
Ag (0.677, 0.306, 0.732)
Ag (0.323, 0.306, 0.232)
Ag (0.488, 0.687, 0.991)
Ag (0.512, 0.687, 0.491)
Ag (0.583, 0.278, 0.459)
Ag (0.417, 0.278, 0.959)
S (0.210, 0.487, 0.013)
S (0.790, 0.487, 0.513)
S (0.272, 0.257, 0.783)
S (0.728, 0.257, 0.283)
S (0.497, 0.848, 0.633)
S (0.503, 0.848, 0.133)
S (0.973, 0.886, 0.613)
S (0.027, 0.886, 0.113)
S (0.244, 0.892, 0.367)
S (0.756, 0.892, 0.867)
S (0.241, 0.360, 0.397)
S (0.759, 0.360, 0.897)

Calculated values
Energy relative to the elements, uncorrected (meV/atom): -223